Entry from Alexandria: a relaxed structure of CrSiAs2Br (PBE-GGA).

Calculated values
DOS at the Fermi energy   3.38 states/eV/f.u.
DFT total energy   -4.5889 eV/atom
SG   P4/mmm, No. 123

Unit cell a=4.654 b=4.654 c=5.281 alpha=90.00 beta=90.00 gamma=90.00
Last column: magnetic moment on the atom in μB.
Fractional coordinates of all 5 atoms:
Si: 0.500 0.500 0.500  0.17
Br: 0.000 0.000 0.500  -0.07
As: 0.500 0.000 0.000  -0.22
As: 0.000 0.500 0.000  -0.22
Cr: 0.000 0.000 0.000  2.18



Entry from Alexandria: a relaxed structure of CrSiAsBr2 (PBE-GGA).

Calculated values
DOS at the Fermi energy   3.07 states/eV/f.u.
DFT total energy   -4.1483 eV/atom
SG   P4/mmm, No. 123

Unit cell a=4.927 b=4.927 c=5.093 alpha=90.00 beta=90.00 gamma=90.00
Last column: magnetic moment on the atom in μB.
Fractional coordinates of all 5 atoms:
Br: 0.500 0.000 0.000  -0.02
As: 0.000 0.000 0.500  -0.31
Si: 0.500 0.500 0.500  0.13
Cr: 0.000 0.000 0.000  3.10
Br: 0.000 0.500 0.000  -0.02



Entry from Alexandria: a relaxed structure of CrSiAs2Br (PBE-GGA).

Calculated values
DOS at the Fermi energy   3.48 states/eV/f.u.
DFT total energy   -4.4708 eV/atom
SG   P4/mmm, No. 123

Unit cell a=4.798 b=4.798 c=5.097 alpha=90.00 beta=90.00 gamma=90.00
Last column: magnetic moment on the atom in μB.
Fractional coordinates of all 5 atoms:
As: 0.000 0.500 0.000  -0.21
Si: 0.000 0.000 0.000  0.00
Br: 0.000 0.000 0.500  -0.09
As: 0.500 0.000 0.000  -0.21
Cr: 0.500 0.500 0.500  4.07



Entry from Alexandria: a relaxed structure of CrSiAsBr2 (PBE-GGA).

Calculated values
DOS at the Fermi energy   4.07 states/eV/f.u.
DFT total energy   -4.0568 eV/atom
SG   P4/mmm, No. 123

Unit cell a=5.029 b=5.029 c=5.081 alpha=90.00 beta=90.00 gamma=90.00
Last column: magnetic moment on the atom in μB.
Fractional coordinates of all 5 atoms:
Cr: 0.500 0.500 0.500  4.20
Si: 0.000 0.000 0.000  -0.01
As: 0.000 0.000 0.500  -0.40
Br: 0.000 0.500 0.000  -0.05
Br: 0.500 0.000 0.000  -0.05



Entry from Alexandria: a relaxed structure of CrSnAs2Br (PBE-GGA).

Calculated values
DOS at the Fermi energy   3.28 states/eV/f.u.
DFT total energy   -4.7133 eV/atom
SG   P4/mmm, No. 123

Unit cell a=4.728 b=4.728 c=5.383 alpha=90.00 beta=90.00 gamma=90.00
Last column: magnetic moment on the atom in μB.
Fractional coordinates of all 5 atoms:
Br: 0.000 0.000 0.500  -0.05
As: 0.500 0.000 0.000  -0.20
As: 0.000 0.500 0.000  -0.20
Cr: 0.000 0.000 0.000  2.38
Sn: 0.500 0.500 0.500  0.09



Entry from Alexandria: a relaxed structure of SrCrAs2Br (PBE-GGA).

Calculated values
DOS at the Fermi energy   2.95 states/eV/f.u.
DFT total energy   -4.9597 eV/atom
SG   P4/mmm, No. 123

Unit cell a=4.735 b=4.735 c=5.650 alpha=90.00 beta=90.00 gamma=90.00
Last column: magnetic moment on the atom in μB.
Fractional coordinates of all 5 atoms:
Sr: 0.500 0.500 0.500  0.01
Cr: 0.000 0.000 0.000  2.56
As: 0.000 0.500 0.000  -0.10
As: 0.500 0.000 0.000  -0.10
Br: 0.000 0.000 0.500  -0.01



Entry from Alexandria: a relaxed structure of SrCrAs2Br (PBE-GGA).

Calculated values
DOS at the Fermi energy   4.37 states/eV/f.u.
DFT total energy   -3.7440 eV/atom
SG   P4/mmm, No. 123

Unit cell a=5.846 b=5.846 c=5.703 alpha=90.00 beta=90.00 gamma=90.00
Last column: magnetic moment on the atom in μB.
Fractional coordinates of all 5 atoms:
Sr: 0.000 0.000 0.000  -0.02
Cr: 0.500 0.500 0.500  4.32
As: 0.000 0.500 0.000  -0.41
Br: 0.000 0.000 0.500  -0.09
As: 0.500 0.000 0.000  -0.41



Entry from Alexandria: a relaxed structure of TaCrAs2Br (PBE-GGA).

Calculated values
DOS at the Fermi energy   3.37 states/eV/f.u.
DFT total energy   -5.9782 eV/atom
SG   P4/mmm, No. 123

Unit cell a=5.009 b=5.009 c=5.185 alpha=90.00 beta=90.00 gamma=90.00
Last column: magnetic moment on the atom in μB.
Fractional coordinates of all 5 atoms:
Ta: 0.000 0.000 0.000  0.12
As: 0.000 0.500 0.000  -0.10
Cr: 0.500 0.500 0.500  4.25
As: 0.500 0.000 0.000  -0.10
Br: 0.000 0.000 0.500  0.01



Entry from Alexandria: a relaxed structure of TaCrAs2Br (PBE-GGA).

Calculated values
DOS at the Fermi energy   3.45 states/eV/f.u.
DFT total energy   -5.5883 eV/atom
SG   P4/mmm, No. 123

Unit cell a=4.713 b=4.713 c=4.858 alpha=90.00 beta=90.00 gamma=90.00
Last column: magnetic moment on the atom in μB.
Fractional coordinates of all 5 atoms:
Br: 0.000 0.000 0.500  -0.06
Ta: 0.500 0.500 0.500  1.79
As: 0.500 0.000 0.000  -0.16
Cr: 0.000 0.000 0.000  2.48
As: 0.000 0.500 0.000  -0.16



Entry from Alexandria: a relaxed structure of CrTcAs2Br (PBE-GGA).

Calculated values
DOS at the Fermi energy   2.88 states/eV/f.u.
DFT total energy   -5.5688 eV/atom
SG   P4/mmm, No. 123

Unit cell a=4.712 b=4.712 c=5.543 alpha=90.00 beta=90.00 gamma=90.00
Last column: magnetic moment on the atom in μB.
Fractional coordinates of all 5 atoms:
As: 0.000 0.500 0.000  -0.06
Br: 0.000 0.000 0.500  -0.01
As: 0.500 0.000 0.000  -0.06
Cr: 0.500 0.500 0.500  4.24
Tc: 0.000 0.000 0.000  0.21



Entry from Alexandria: a relaxed structure of CrTcAs2Br (PBE-GGA).

Calculated values
DOS at the Fermi energy   3.81 states/eV/f.u.
DFT total energy   -5.4277 eV/atom
SG   P4/mmm, No. 123

Unit cell a=4.498 b=5.312 c=4.498 alpha=90.00 beta=90.00 gamma=90.00
Last column: magnetic moment on the atom in μB.
Fractional coordinates of all 5 atoms:
As: 0.500 0.000 0.000  0.07
Cr: 0.000 0.000 0.000  -0.41
Tc: 0.000 0.500 0.000  3.14
Br: 0.500 0.500 0.500  0.03
As: 0.000 0.000 0.500  0.04



Entry from Alexandria: a relaxed structure of CrTeAsBr2 (PBE-GGA).

Calculated values
DOS at the Fermi energy   6.23 states/eV/f.u.
DFT total energy   -3.7973 eV/atom
SG   P4/mmm, No. 123

Unit cell a=4.732 b=4.732 c=5.236 alpha=90.00 beta=90.00 gamma=90.00
Fractional coordinates of all 5 atoms:
Br: 0.000 0.500 0.000
Br: 0.500 0.000 0.000
Cr: 0.000 0.000 0.000
As: 0.000 0.000 0.500
Te: 0.500 0.500 0.500



Entry from Alexandria: a relaxed structure of TiCrAs2Br (PBE-GGA).

Calculated values
DOS at the Fermi energy   4.07 states/eV/f.u.
DFT total energy   -5.4375 eV/atom
SG   P4/mmm, No. 123

Unit cell a=4.864 b=4.864 c=5.242 alpha=90.00 beta=90.00 gamma=90.00
Last column: magnetic moment on the atom in μB.
Fractional coordinates of all 5 atoms:
Br: 0.000 0.000 0.500  -0.03
As: 0.000 0.500 0.000  -0.08
As: 0.500 0.000 0.000  -0.08
Ti: 0.000 0.000 0.000  0.11
Cr: 0.500 0.500 0.500  4.21



Entry from Alexandria: a relaxed structure of TiCrAs2Br (PBE-GGA).

Calculated values
DOS at the Fermi energy   5.65 states/eV/f.u.
DFT total energy   -5.3114 eV/atom
SG   P4/mmm, No. 123

Unit cell a=4.676 b=4.676 c=5.172 alpha=90.00 beta=90.00 gamma=90.00
Last column: magnetic moment on the atom in μB.
Fractional coordinates of all 5 atoms:
Br: 0.000 0.000 0.500  -0.06
As: 0.500 0.000 0.000  -0.16
As: 0.000 0.500 0.000  -0.16
Cr: 0.000 0.000 0.000  2.46
Ti: 0.500 0.500 0.500  1.84



Entry from Alexandria: a relaxed structure of TlCrAsBr2 (PBE-GGA).

Calculated values
DOS at the Fermi energy   1.77 states/eV/f.u.
DFT total energy   -4.2305 eV/atom
SG   P4/mmm, No. 123

Unit cell a=5.370 b=5.370 c=4.808 alpha=90.00 beta=90.00 gamma=90.00
Last column: magnetic moment on the atom in μB.
Fractional coordinates of all 5 atoms:
Br: 0.500 0.000 0.000  -0.07
Br: 0.000 0.500 0.000  -0.07
Tl: 0.500 0.500 0.500  -0.02
As: 0.000 0.000 0.500  -0.55
Cr: 0.000 0.000 0.000  3.09



Entry from Alexandria: a relaxed structure of TlCrAs2Br (PBE-GGA).

Calculated values
DOS at the Fermi energy   2.41 states/eV/f.u.
DFT total energy   -4.5610 eV/atom
SG   P4/mmm, No. 123

Unit cell a=4.697 b=4.697 c=5.780 alpha=90.00 beta=90.00 gamma=90.00
Last column: magnetic moment on the atom in μB.
Fractional coordinates of all 5 atoms:
Cr: 0.000 0.000 0.000  2.20
As: 0.000 0.500 0.000  -0.19
Br: 0.000 0.000 0.500  -0.07
Tl: 0.500 0.500 0.500  0.00
As: 0.500 0.000 0.000  -0.19



Entry from Alexandria: a relaxed structure of TlCrAsBr2 (PBE-GGA).

Calculated values
DOS at the Fermi energy   2.31 states/eV/f.u.
DFT total energy   -3.3784 eV/atom
SG   P4/mmm, No. 123

Unit cell a=5.752 b=5.752 c=5.436 alpha=90.00 beta=90.00 gamma=90.00
Last column: magnetic moment on the atom in μB.
Fractional coordinates of all 5 atoms:
Tl: 0.000 0.000 0.000  0.00
Cr: 0.500 0.500 0.500  4.36
Br: 0.500 0.000 0.000  -0.07
As: 0.000 0.000 0.500  -0.64
Br: 0.000 0.500 0.000  -0.07



Entry from Alexandria: a relaxed structure of VCrAs2Br (PBE-GGA).

Calculated values
DOS at the Fermi energy   4.47 states/eV/f.u.
DFT total energy   -5.3857 eV/atom
SG   P4/mmm, No. 123

Unit cell a=4.623 b=4.623 c=5.289 alpha=90.00 beta=90.00 gamma=90.00
Last column: magnetic moment on the atom in μB.
Fractional coordinates of all 5 atoms:
Cr: 0.000 0.000 0.000  2.28
Br: 0.000 0.000 0.500  -0.09
V: 0.500 0.500 0.500  3.03
As: 0.500 0.000 0.000  -0.18
As: 0.000 0.500 0.000  -0.18



Entry from Alexandria: a relaxed structure of VCrAs2Br (PBE-GGA).

Calculated values
DOS at the Fermi energy   2.52 states/eV/f.u.
DFT total energy   -5.5320 eV/atom
SG   P4/mmm, No. 123

Unit cell a=4.679 b=4.679 c=5.411 alpha=90.00 beta=90.00 gamma=90.00
Last column: magnetic moment on the atom in μB.
Fractional coordinates of all 5 atoms:
Br: 0.000 0.000 0.500  -0.04
As: 0.000 0.500 0.000  -0.14
Cr: 0.500 0.500 0.500  4.21
As: 0.500 0.000 0.000  -0.14
V: 0.000 0.000 0.000  1.14



Entry from Alexandria: a relaxed structure of V2CrAsBr (PBE-GGA).

Calculated values
DOS at the Fermi energy   7.68 states/eV/f.u.
DFT total energy   -6.1177 eV/atom
SG   P4/mmm, No. 123

Unit cell a=4.937 b=4.944 c=4.937 alpha=90.00 beta=90.00 gamma=90.00
Last column: magnetic moment on the atom in μB.
Fractional coordinates of all 5 atoms:
Br: 0.500 0.500 0.500  0.10
Cr: 0.000 0.500 0.000  4.03
V: 0.500 0.000 0.000  2.72
V: 0.000 0.000 0.500  3.10
As: 0.000 0.000 0.000  -0.12